Record 1
An optimized crystal structure of CaZrBr. Source: Alexandria via LeMat-Bulk, functional PBE.

Results
- E_form (uncorrected) (meV per atom) = -309
- ΔE to the lowest computed polymorph (eV per atom) = 0.148
- Fermi-level density of states (states/eV per cell) = 2.89

a b c (Å): 7.153 7.153 7.153
angles (deg): 152.53 152.53 39.24
Site moments in Bohr magnetons follow the coordinates.
Fractional coordinates of all 3 atoms:
Br: 0.011 0.011 0.000  0.00
Zr: 0.652 0.652 0.000  0.30
Ca: 0.337 0.337 0.000  0.04



Record 2
An optimized crystal structure of Tl2SnPb. Source: Alexandria via LeMat-Bulk, functional PBE.

Results
- ΔE to the lowest computed polymorph (eV per atom) = 0.000
- ΔE_f (eV/atom) = -0.001
- Fermi-level density of states (states/eV per cell) = 1.45

a b c (Å): 3.474 3.474 10.087
angles (deg): 90.00 90.00 90.00
Fractional coordinates of all 4 atoms:
Tl: 0.000 0.000 0.997
Tl: 0.500 0.500 0.259
Pb: 0.500 0.500 0.740
Sn: 0.000 0.000 0.505



Record 3
An optimized crystal structure of Ca2Zn. Source: Alexandria via LeMat-Bulk, functional PBE.

Results
- ΔE_f (eV/atom) = -0.162
- Fermi-level density of states (states/eV per cell) = 4.99

a b c (Å): 6.888 6.888 8.879
angles (deg): 55.94 55.94 33.96
Fractional coordinates of all 6 atoms:
Ca: 0.699 0.699 0.616
Ca: 0.940 0.940 0.069
Ca: 0.116 0.116 0.320
Ca: 0.356 0.356 0.773
Zn: 0.415 0.415 0.361
Zn: 0.640 0.640 0.028



Record 4
An optimized crystal structure of CePrHoSn. Source: Alexandria via LeMat-Bulk, functional PBE.

Results
- ΔE_f (eV/atom) = -0.194
- Fermi-level density of states (states/eV per cell) = 7.38

a b c (Å): 5.454 5.454 5.454
angles (deg): 60.00 60.00 60.00
Site moments in Bohr magnetons follow the coordinates.
Fractional coordinates of all 4 atoms:
Ce: 0.750 0.750 0.750  0.45
Pr: 0.000 0.000 0.000  -0.01
Sn: 0.250 0.250 0.250  -0.01
Ho: 0.500 0.500 0.500  0.00



Record 5
An optimized crystal structure of Pm7CoSn4. Source: Alexandria via LeMat-Bulk, functional PBE.

Results
- ΔE_f (eV/atom) = -0.351
- Fermi-level density of states (states/eV per cell) = 9.88

a b c (Å): 5.321 9.472 8.395
angles (deg): 78.07 71.52 73.69
Site moments in Bohr magnetons follow the coordinates.
Fractional coordinates of all 12 atoms:
Sn: 0.277 0.348 0.097  0.01
Sn: 0.578 0.221 0.622  0.00
Sn: 0.422 0.779 0.378  0.00
Sn: 0.723 0.652 0.903  0.01
Pm: 0.358 0.555 0.728  0.00
Pm: 0.500 0.000 0.000  -0.04
Pm: 0.217 0.133 0.434  -0.01
Pm: 0.928 0.276 0.869  -0.03
Pm: 0.783 0.867 0.566  -0.01
Pm: 0.642 0.445 0.272  0.00
Pm: 0.072 0.724 0.131  -0.03
Co: 0.000 0.000 0.000  0.39



Record 6
An optimized crystal structure of Na2AsI4. Source: Alexandria via LeMat-Bulk, functional PBE.

Results
- E_form (uncorrected) (meV per atom) = -623
- ΔE to the lowest computed polymorph (eV per atom) = 0.000

a b c (Å): 7.950 7.950 7.178
angles (deg): 123.63 123.63 90.00
Site moments in Bohr magnetons follow the coordinates.
Fractional coordinates of all 7 atoms:
I: 0.185 0.185 0.867  0.03
I: 0.683 0.683 0.867  0.03
I: 0.317 0.815 0.133  0.03
I: 0.815 0.317 0.133  0.03
Na: 0.750 0.250 0.500  0.00
Na: 0.250 0.750 0.500  0.00
As: 0.500 0.500 0.000  0.36



Record 7
An optimized crystal structure of Na2Ca5Pd2. Source: Alexandria via LeMat-Bulk, functional PBE.

Results
- ΔE_f (eV/atom) = -0.340
- Fermi-level density of states (states/eV per cell) = 10.71

a b c (Å): 7.931 7.896 10.365
angles (deg): 90.00 67.51 90.00
Fractional coordinates of all 18 atoms:
Na: 0.229 0.000 0.543
Na: 0.771 0.000 0.457
Na: 0.729 0.500 0.543
Na: 0.271 0.500 0.457
Pd: 0.871 0.629 0.000
Pd: 0.129 0.371 0.000
Pd: 0.371 0.871 0.000
Pd: 0.629 0.129 0.000
Ca: 0.500 0.500 0.000
Ca: 0.000 0.000 0.000
Ca: 0.770 0.832 0.797
Ca: 0.270 0.668 0.797
Ca: 0.230 0.168 0.203
Ca: 0.730 0.332 0.203
Ca: 0.933 0.332 0.797
Ca: 0.433 0.168 0.797
Ca: 0.567 0.832 0.203
Ca: 0.067 0.668 0.203



Record 8
An optimized crystal structure of La2BeP. Source: Alexandria via LeMat-Bulk, functional PBE.

Results
- ΔE to the lowest computed polymorph (eV per atom) = 0.208
- ΔE_f (eV/atom) = -0.477
- Fermi-level density of states (states/eV per cell) = 4.25

a b c (Å): 4.194 4.194 7.762
angles (deg): 74.38 74.38 59.96
Site moments in Bohr magnetons follow the coordinates.
Fractional coordinates of all 4 atoms:
P: 0.250 0.250 0.250  -0.01
La: 0.507 0.507 0.480  0.10
La: 0.993 0.993 0.020  0.10
Be: 0.750 0.750 0.750  0.09



Record 9
An optimized crystal structure of Ce3GeP. Source: Alexandria via LeMat-Bulk, functional PBE.

Results
- ΔE_f (eV/atom) = -0.488
- Fermi-level density of states (states/eV per cell) = 34.02

a b c (Å): 4.645 8.142 9.272
angles (deg): 109.16 90.08 106.52
Site moments in Bohr magnetons follow the coordinates.
Fractional coordinates of all 10 atoms:
P: 0.162 0.324 0.853  -0.03
P: 0.838 0.676 0.147  -0.03
Ce: 0.353 0.706 0.984  0.80
Ce: 0.647 0.294 0.016  0.80
Ce: 0.969 0.939 0.772  0.88
Ce: 0.152 0.302 0.545  0.78
Ce: 0.848 0.698 0.455  0.78
Ce: 0.031 0.061 0.228  0.88
Ge: 0.647 0.293 0.342  -0.03
Ge: 0.353 0.707 0.658  -0.03



Record 10
An optimized crystal structure of La2Cu2I. Source: Alexandria via LeMat-Bulk, functional PBE.

Results
- E_form (uncorrected) (meV per atom) = -326
- ΔE to the lowest computed polymorph (eV per atom) = 0.275
- Fermi-level density of states (states/eV per cell) = 7.21

a b c (Å): 8.511 8.511 3.859
angles (deg): 90.00 90.00 90.00
Fractional coordinates of all 10 atoms:
La: 0.334 0.834 0.000
La: 0.666 0.166 0.000
La: 0.834 0.666 0.000
La: 0.166 0.334 0.000
Cu: 0.110 0.610 0.500
Cu: 0.890 0.390 0.500
Cu: 0.610 0.890 0.500
Cu: 0.390 0.110 0.500
I: 0.500 0.500 0.000
I: 0.000 0.000 0.000



Record 11
An optimized crystal structure of PrNd3Ru. Source: Alexandria via LeMat-Bulk, functional PBE.

Results
- ΔE to the lowest computed polymorph (eV per atom) = 0.080
- ΔE_f (eV/atom) = -0.061
- Fermi-level density of states (states/eV per cell) = 12.74

a b c (Å): 6.456 6.630 7.857
angles (deg): 90.00 90.00 90.00
Fractional coordinates of all 10 atoms:
Pr: 0.931 0.020 0.201
Pr: 0.431 0.333 0.701
Nd: 0.426 0.854 0.450
Nd: 0.421 0.336 0.201
Nd: 0.921 0.017 0.701
Nd: 0.426 0.854 0.951
Nd: 0.926 0.499 0.951
Nd: 0.926 0.499 0.451
Ru: 0.675 0.675 0.201
Ru: 0.175 0.677 0.701



Record 12
An optimized crystal structure of AcZr2In. Source: Alexandria via LeMat-Bulk, functional PBE.

Results
- ΔE to the lowest computed polymorph (eV per atom) = 0.302
- ΔE_f (eV/atom) = 0.325
- Fermi-level density of states (states/eV per cell) = 5.57

a b c (Å): 3.312 3.312 11.700
angles (deg): 81.86 81.86 60.00
Fractional coordinates of all 4 atoms:
Zr: 0.906 0.906 0.282
Zr: 0.094 0.094 0.718
Ac: 0.000 0.000 0.000
In: 0.500 0.500 0.500